An optimized crystal structure of PmTlZn. Source: OQMD via LeMat-Bulk, functional PBE.

Energy relative to the lowest polymorph listed for this composition in kJ/mol of formula units: 116.6

a = 7.113 Å, b = 7.113 Å, c = 7.113 Å
α = 90.00°, β = 90.00°, γ = 90.00°
Space group F-43m (No. 216)
Unique sites:
Pm: 0.000 0.000 0.000 (multiplicity 4)
Tl: 0.250 0.250 0.750 (multiplicity 4)
Zn: 0.250 0.250 0.250 (multiplicity 4)